Entry 1:
A plane-wave DFT calculation with GGA-PBE was carried out for a relaxed structure of Hf2BeW. Values from VASP.

The structure in Quantum ESPRESSO input format:
```
&SYSTEM
  ibrav = 0, nat = 4, ntyp = 3
/
ATOMIC_SPECIES
Be 9.01 Be.upf
Hf 178.49 Hf.upf
W 183.84 W.upf
ATOMIC_POSITIONS angstrom
Be 2.973 1.716 4.737
Hf 1.487 0.858 6.741
Hf 4.460 2.575 2.732
W 0.000 0.000 0.000
CELL_PARAMETERS angstrom
2.973 0.000 0.000
1.487 2.575 0.000
1.487 0.858 9.473
```

* total magnetic moment: 0.00 μB/cell
* calculated formation energy: 12.99 kcal/mol of atoms

---

Entry 2:
A plane-wave DFT calculation with GGA-PBE was carried out for a relaxed structure of HfBe17W. Values from VASP.

The structure in Quantum ESPRESSO input format:
```
&SYSTEM
  ibrav = 0, nat = 19, ntyp = 3
/
ATOMIC_SPECIES
Hf 178.49 Hf.upf
Be 9.01 Be.upf
W 183.84 W.upf
ATOMIC_POSITIONS angstrom
Hf 2.086 1.878 2.347
Be 2.232 5.483 4.791
Be 4.092 1.644 6.209
Be 5.924 3.897 2.778
Be 2.064 3.897 6.209
Be 5.686 1.644 4.791
Be 4.497 5.483 2.778
Be 2.423 4.598 2.726
Be 2.141 1.927 5.113
Be 4.827 1.927 2.726
Be 3.722 0.883 4.187
Be 4.009 3.609 1.750
Be 1.268 3.609 4.187
Be 0.300 2.739 0.338
Be 0.012 0.011 2.776
Be 2.755 0.011 0.338
Be 5.499 4.950 6.186
Be 0.587 0.529 0.661
W 4.034 3.631 4.538
CELL_PARAMETERS angstrom
5.522 0.010 0.663
0.589 5.491 0.663
0.011 0.010 5.562
```

* total magnetic moment: 0.00 μB/cell
* calculated formation energy: -3.82 kcal/mol of atoms

---

Entry 3:
A plane-wave DFT calculation with GGA-PBE was carried out for a relaxed structure of Hf2BeW. Values from VASP.

The structure in Quantum ESPRESSO input format:
```
&SYSTEM
  ibrav = 0, nat = 4, ntyp = 3
/
ATOMIC_SPECIES
Be 9.01 Be.upf
Hf 178.49 Hf.upf
W 183.84 W.upf
ATOMIC_POSITIONS angstrom
Be 1.654 1.654 0.000
Hf 0.000 0.000 4.784
Hf 0.000 0.000 1.533
W 1.654 1.654 3.158
CELL_PARAMETERS angstrom
3.308 0.000 0.000
0.000 3.308 0.000
0.000 0.000 6.316
```

* total magnetic moment: 0.00 μB/cell
* calculated formation energy: 0.53 kcal/mol of atoms